No. 1
Material: Mg2Ga4Ag9
Method: DFT, PBE
State: optimized geometry

a = 4.5970 Å, b = 4.5970 Å, c = 14.6394 Å
α = 90.00°, β = 90.00°, γ = 120.00°
Last column: nearest neighbours and their distance in Å.
Space group P-3m1 (No. 164)
One atom of each set of equivalent atoms:
Mg (0.3333, 0.6667, 0.2686)  5 Ag 2.83-2.89, 3 Ga 2.89
Ga (0.3333, 0.6667, 0.6526)  4 Ag 2.72-2.75, 3 Mg 2.89
Ga (0.3333, 0.6667, 0.8670)  7 Ag 2.79-3.05
Ag (0.0000, 0.0000, 0.0000)  8 Ag 2.80-2.87
Ag (0.0000, 0.0000, 0.1913)  3 Ga 2.79, 2 Ag 2.80-2.89, 3 Mg 2.89
Ag (0.0000, 0.0000, 0.3887)  3 Ga 2.72, 4 Ag 2.88-2.89
Ag (0.3333, 0.6667, 0.0750)  4 Ga 2.79-3.05, 1 Mg 2.83, 3 Ag 2.87
Ag (0.3333, 0.6667, 0.4646)  1 Ga 2.75, 6 Ag 2.85-2.88, 1 Mg 2.87

- E (eV/atom) = -2.78
- total moment (μB/cell) = 0.00



No. 2
Material: Mg2Ga7Ag12
Method: DFT, PBE
State: optimized geometry

a = 11.9840 Å, b = 11.9840 Å, c = 3.0010 Å
α = 90.00°, β = 90.00°, γ = 120.00°
Last column: nearest neighbours and their distance in Å.
Space group P-3 (No. 147)
One atom of each set of equivalent atoms:
Mg (0.3333, 0.6667, 0.2501)  2 Mg 3.00, 6 Ag 3.06, 6 Ga 3.10
Ga (0.0000, 0.0000, 0.0000)  6 Ag 2.72, 2 Ga 3.00
Ga (0.1321, 0.4216, 0.7499)  7 Ag 2.67-2.89
Ag (0.0753, 0.8293, 0.2528)  4 Ga 2.72-2.81, 8 Ag 2.99-3.02
Ag (0.0915, 0.6212, 0.7495)  4 Ga 2.67-2.89

- E (eV/atom) = -2.85
- total moment (μB/cell) = 0.00



No. 3
Material: Mg3GaAg
Method: DFT, PBE
State: optimized geometry

a = 10.0898 Å, b = 4.3924 Å, c = 8.9325 Å
α = 90.00°, β = 95.98°, γ = 90.00°
Last column: nearest neighbours and their distance in Å.
Space group C2/m (No. 12)
One atom of each set of equivalent atoms:
Mg (0.0608, 0.0000, 0.3554)  1 Ag 2.87, 5 Ga 2.90-3.13, 5 Mg 2.97-3.13
Mg (0.0691, 0.5000, 0.8626)  3 Ag 2.85-2.93, 1 Ga 2.88, 5 Mg 2.95-3.13
Mg (0.2468, 0.5000, 0.2485)  3 Ag 2.91-3.06, 3 Ga 2.96-3.07, 6 Mg 3.10-3.24
Ga (0.1384, 0.5000, 0.5578)  1 Ga 2.88, 9 Mg 2.88-3.13
Ag (0.1419, 0.0000, 0.0571)  7 Mg 2.85-3.06, 1 Ag 2.94

- relative energy among the computed polymorphs (eV per atom) = 0.000
- total moment (μB/cell) = 0.00



No. 4
Material: Mg2Ga5Ag
Method: DFT, PBE
State: optimized geometry

a = 5.2338 Å, b = 5.2338 Å, c = 11.2003 Å
α = 90.00°, β = 90.00°, γ = 90.00°
Last column: nearest neighbours and their distance in Å.
Space group I4/mmm (No. 139)
One atom of each set of equivalent atoms:
Mg (0.0000, 0.0000, 0.2494)  9 Ga 2.79-3.00, 1 Ag 2.81
Ga (0.0000, 0.0000, 0.0000)  2 Mg 2.79, 8 Ga 2.94
Ga (0.0000, 0.5000, 0.1197)  4 Ga 2.68-2.94, 2 Ag 2.94, 4 Mg 2.99-3.00
Ag (0.0000, 0.0000, 0.5000)  2 Mg 2.81, 8 Ga 2.94

- E (eV/atom) = -2.69
- total moment (μB/cell) = 0.00



No. 5
Material: MgGa7Ag12
Method: DFT, PBE
State: optimized geometry

a = 10.3447 Å, b = 10.3447 Å, c = 12.1368 Å
α = 90.00°, β = 90.00°, γ = 120.00°
Last column: nearest neighbours and their distance in Å.
Space group R-3 (No. 148, hexagonal axes)
One atom of each set of equivalent atoms:
Mg (0.0000, 0.0000, 0.0000)  6 Ag 2.88, 6 Ga 2.95
Ga (0.0000, 0.0000, 0.5000)  6 Ag 2.57
Ga (0.0193, 0.1753, 0.8030)  4 Ag 2.71-2.96, 1 Mg 2.95, 2 Ga 2.98
Ag (0.0181, 0.4579, 0.6806)  2 Ga 2.71-2.86, 5 Ag 2.81-2.91, 1 Mg 2.88
Ag (0.0716, 0.5873, 0.0917)  2 Ga 2.57-2.76, 3 Ag 2.78-2.88

- E (eV/atom) = -2.81
- total moment (μB/cell) = 0.00



No. 6
Material: Mg5Ga6Ag
Method: DFT, PBE
State: optimized geometry

a = 9.2726 Å, b = 12.7387 Å, c = 4.3073 Å
α = 90.00°, β = 117.48°, γ = 90.00°
Last column: nearest neighbours and their distance in Å.
Space group C2/m (No. 12)
One atom of each set of equivalent atoms:
Mg (0.0000, 0.0000, 0.0000)  8 Ga 2.93-2.94, 4 Mg 3.05
Mg (0.0000, 0.1701, 0.5000)  8 Ga 2.94-2.97, 4 Mg 3.05-3.09
Mg (0.0000, 0.3438, 0.0000)  8 Ga 2.91-3.05, 2 Ag 2.93, 2 Mg 3.09
Ga (0.2422, 0.0000, 0.7410)  6 Mg 2.91-2.94, 2 Ag 3.01-3.03, 4 Ga 3.01-3.02
Ga (0.2474, 0.1659, 0.2471)  7 Mg 2.93-3.05, 1 Ag 2.96, 4 Ga 3.01-3.04
Ag (0.0000, 0.5000, 0.5000)  4 Mg 2.93, 8 Ga 2.96-3.03

- E (eV/atom) = -2.53
- total moment (μB/cell) = 0.00